ZrNiPd3 | PBE-GGA | relaxed

Formation enthalpy at 0 K = 0.3942 eV per atom
Mass density = 8.35 g/cm3
M_tot = 0.0 μB/f.u.

a = 4.536 Å, b = 4.536 Å, c = 4.536 Å
α = 90.00°, β = 90.00°, γ = 90.00°
Positions (direct):
Pd 0.000 0.000 0.500
Pd 0.500 0.000 0.000
Pd 0.000 0.500 0.000
Zr 0.500 0.500 0.500
Ni 0.000 0.000 0.000